1.
Compound: Ac2Ho3In4
Source: the Alexandria database
Functional: GGA-PBE
Structure: optimized geometry

Unit cell a=8.5604 b=8.5208 c=8.2466 alpha=90.00 beta=108.30 gamma=90.00
With the nearest neighbours (Å) after each atom.
Space group P2_1/c (No. 14)
Symmetry-distinct sites (fractional):
Ac (0.1896, 0.1745, 0.0665) [4 per cell]  7 In 3.42-3.76
Ho (0.2494, 0.6705, 0.2490) [4 per cell]  6 In 3.15-3.24
Ho (0.5000, 0.0000, 0.5000) [2 per cell]  6 In 3.23-3.42
In (0.0814, 0.5402, 0.8643) [4 per cell]  1 In 3.06, 4 Ho 3.15-3.42, 1 Ac 3.42
In (0.4989, 0.1242, 0.8701) [4 per cell]  1 In 3.01, 4 Ho 3.16-3.24

Properties
- final energy (eV per formula unit) = -36.8
- DFT formation energy (meV per atom) = -435

=====

2.
Compound: LiTl2FeC
Source: the Alexandria database
Functional: GGA-PBE
Structure: optimized geometry

Unit cell a=5.1036 b=5.1036 c=3.6503 alpha=90.00 beta=90.00 gamma=90.00
With the nearest neighbours (Å) after each atom.
Space group P4/mmm (No. 123)
Symmetry-distinct sites (fractional):
Li (0.0000, 0.0000, 0.0000) [1 per cell]  8 Tl 3.14
Tl (0.0000, 0.5000, 0.5000) [2 per cell]  2 C 2.55
Fe (0.5000, 0.5000, 0.0000) [1 per cell]  2 C 1.83
C (0.5000, 0.5000, 0.5000) [1 per cell]  2 Fe 1.83

Properties
- final energy (eV per formula unit) = -20.8
- DFT formation energy (meV per atom) = 709

=====

3.
Compound: BaZrTe2S
Source: the Alexandria database
Functional: GGA-PBE
Structure: optimized geometry

Unit cell a=5.7927 b=5.7927 c=4.9354 alpha=90.00 beta=90.00 gamma=90.00
With the nearest neighbours (Å) after each atom.
Space group P4/mmm (No. 123)
Symmetry-distinct sites (fractional):
Ba (0.0000, 0.0000, 0.0000) [1 per cell]  8 Te 3.81, 4 S 4.10
Zr (0.5000, 0.5000, 0.5000) [1 per cell]  2 S 2.47
Te (0.0000, 0.5000, 0.5000) [2 per cell]  2 Zr 2.90
S (0.5000, 0.5000, 0.0000) [1 per cell]  2 Zr 2.47

Properties
- final energy (eV per formula unit) = -27.4
- formation energy without anion corrections (eV/atom) = -1.306